DFT (GGA-PBEsol) results for an optimized crystal structure of NiBiO3.

Its crystal system is orthorhombic. The uncorrected formation energy is -1.01 eV/atom. The value obtained for the total magnetic moment is 0.093 μB/atom.

The space group is Pnma (No. 62) and the conventional cell measures 5.4866, 7.5176 and 5.3106 Å, with angles of 90.00, 90.00 and 90.00 degrees. The asymmetric unit holds Ni at (0.0000, 0.0000, 0.0000), Bi at (0.0570, 0.2500, 0.4905), O at (0.0215, 0.7500, 0.0799) and O at (0.2072, 0.5382, 0.7045).